[1]
Here is crystalline Tc2NiHRh at its relaxed geometry from the Alexandria database. Energies are from GGA-PBE.

Results
ΔE to the lowest computed polymorph: 0 meV/atom
DFT total energy: -36.79 eV per formula unit

Unit cell a=3.831 b=3.831 c=3.864 alpha=90.00 beta=90.00 gamma=90.00
Space group P4/mmm (No. 123)
One atom of each set of equivalent atoms:
Tc: 0.000 0.500 0.000 [2 per cell]
Ni: 0.000 0.000 0.500 [1 per cell]
H: 0.000 0.000 0.000 [1 per cell]
Rh: 0.500 0.500 0.500 [1 per cell]

---

[2]
Here is crystalline ZrInAuI2 at its relaxed geometry from the Alexandria database. Energies are from GGA-PBE.

Results
ΔE_f (raw): -10 kJ per mole of atoms
DFT total energy: -18.17 eV per formula unit

Unit cell a=5.728 b=5.728 c=5.427 alpha=90.00 beta=90.00 gamma=90.00
Space group P4/mmm (No. 123)
One atom of each set of equivalent atoms:
Zr: 0.000 0.000 0.000 [1 per cell]
In: 0.500 0.500 0.500 [1 per cell]
Au: 0.000 0.000 0.500 [1 per cell]
I: 0.000 0.500 0.000 [2 per cell]

---

[3]
Here is crystalline Y3HgC at its relaxed geometry from the Alexandria database. Energies are from GGA-PBE.

Results
Energy relative to the elements: -0.82 eV/f.u.
ΔE to the lowest computed polymorph: 264 meV/atom
DFT total energy: -29.74 eV per formula unit

Unit cell a=3.912 b=8.141 c=8.261 alpha=90.00 beta=90.05 gamma=90.00
Space group P2_1/m (No. 11)
One atom of each set of equivalent atoms:
Y: 0.000 0.250 0.022 [2 per cell]
Y: 0.499 0.035 0.706 [4 per cell]
Hg: 0.000 0.250 0.423 [2 per cell]
C: 0.500 0.250 0.878 [2 per cell]

---

[4]
Here is crystalline YTaIr2 at its relaxed geometry from the Alexandria database. Energies are from GGA-PBE.

Results
Energy relative to the elements: -2.09 eV/f.u.
DFT total energy: -38.13 eV per formula unit

Unit cell a=4.4228 b=4.4228 c=13.9787 alpha=90.00 beta=90.00 gamma=120.00
Space group R-3m (No. 166, hexagonal axes)
One atom of each set of equivalent atoms:
Y: 0.0000 0.0000 0.0000 [3 per cell]
Ta: 0.0000 0.0000 0.5000 [3 per cell]
Ir: 0.0000 0.0000 0.2188 [6 per cell]

---

[5]
Here is crystalline Al2ZnP at its relaxed geometry from the Alexandria database. Energies are from GGA-PBE.

Results
Energy relative to the elements: 0.58 eV/f.u.
ΔE to the lowest computed polymorph: 126 meV/atom
DFT total energy: -13.59 eV per formula unit

Unit cell a=2.994 b=2.994 c=7.190 alpha=90.00 beta=90.00 gamma=90.00
Space group P4mm (No. 99)
One atom of each set of equivalent atoms:
Al: 0.000 0.000 0.000 [1 per cell]
Al: 0.500 0.500 0.273 [1 per cell]
Zn: 0.500 0.500 0.739 [1 per cell]
P: 0.000 0.000 0.487 [1 per cell]

---

[6]
Here is crystalline LiNp2Ni4Ge3 at its relaxed geometry from the Alexandria database. Energies are from GGA-PBE.

Results
Energy relative to the elements: -2.87 eV/f.u.
DFT total energy: -67.64 eV per formula unit

Unit cell a=3.949 b=3.949 c=10.203 alpha=90.00 beta=90.00 gamma=90.00
Space group P-4m2 (No. 115)
One atom of each set of equivalent atoms:
Li: 0.000 0.000 0.000 [1 per cell]
Np: 0.000 0.500 0.752 [2 per cell]
Ni: 0.000 0.000 0.500 [1 per cell]
Ni: 0.000 0.500 0.140 [2 per cell]
Ni: 0.500 0.500 0.500 [1 per cell]
Ge: 0.000 0.500 0.370 [2 per cell]
Ge: 0.500 0.500 0.000 [1 per cell]

---

[7]
Here is crystalline La4SmPb5 at its relaxed geometry from the Alexandria database. Energies are from GGA-PBE.

Results
Energy relative to the elements: -5.67 eV/f.u.
DFT total energy: -48.64 eV per formula unit

Unit cell a=3.667 b=3.667 c=23.184 alpha=90.00 beta=90.00 gamma=90.00
Space group P4/mmm (No. 123)
One atom of each set of equivalent atoms:
La: 0.000 0.000 0.101 [2 per cell]
La: 0.000 0.000 0.302 [2 per cell]
Sm: 0.000 0.000 0.500 [1 per cell]
Pb: 0.500 0.500 0.000 [1 per cell]
Pb: 0.500 0.500 0.202 [2 per cell]
Pb: 0.500 0.500 0.404 [2 per cell]

---

[8]
Here is crystalline Ce3PrGe3 at its relaxed geometry from the Alexandria database. Energies are from GGA-PBE.

Results
Energy relative to the elements: -3.31 eV/f.u.
DFT total energy: -39.74 eV per formula unit

Unit cell a=8.9097 b=8.9097 c=5.3994 alpha=90.00 beta=90.00 gamma=120.00
Space group P6_3/m (No. 176)
One atom of each set of equivalent atoms:
Ce: 0.0014 0.7411 0.2500 [6 per cell]
Pr: 0.3333 0.6667 0.2500 [2 per cell]
Ge: 0.0540 0.6293 0.7500 [6 per cell]

---

[9]
Here is crystalline Hf3Cd3In at its relaxed geometry from the Alexandria database. Energies are from GGA-PBE.

Results
Energy relative to the elements: -0.04 eV/f.u.
DFT total energy: -35.38 eV per formula unit

Unit cell a=8.3679 b=8.3679 c=5.0013 alpha=90.00 beta=90.00 gamma=120.00
Space group P6_3/m (No. 176)
One atom of each set of equivalent atoms:
Hf: 0.1062 0.6352 0.2500 [6 per cell]
Cd: 0.0438 0.8067 0.7500 [6 per cell]
In: 0.3333 0.6667 0.7500 [2 per cell]

---

[10]
Here is crystalline Zr2NbRh at its relaxed geometry from the Alexandria database. Energies are from GGA-PBE.

Results
Energy relative to the elements: -1.55 eV/f.u.
DFT total energy: -36.07 eV per formula unit

Unit cell a=3.339 b=3.339 c=6.881 alpha=90.00 beta=90.00 gamma=90.00
Space group P4/mmm (No. 123)
One atom of each set of equivalent atoms:
Zr: 0.000 0.000 0.238 [2 per cell]
Nb: 0.500 0.500 0.500 [1 per cell]
Rh: 0.500 0.500 0.000 [1 per cell]

---

[11]
Here is crystalline MnTcPPdCl at its relaxed geometry from the Alexandria database. Energies are from GGA-PBE.

Results
ΔE_f (raw): -12 kJ per mole of atoms
ΔE to the lowest computed polymorph: 96 meV/atom
DFT total energy: -32.61 eV per formula unit

Unit cell a=3.484 b=3.493 c=7.730 alpha=84.75 beta=79.57 gamma=89.66
Space group P1 (No. 1)
One atom of each set of equivalent atoms:
Mn: 0.000 0.000 0.000 [1 per cell]
Tc: 0.090 0.400 0.781 [1 per cell]
P: 0.521 0.627 0.952 [1 per cell]
Pd: 0.409 0.266 0.216 [1 per cell]
Cl: 0.171 0.015 0.528 [1 per cell]

---

[12]
Here is crystalline Nb3AsOs at its relaxed geometry from the Alexandria database. Energies are from GGA-PBE.

Results
Energy relative to the elements: 5.11 eV/f.u.
ΔE to the lowest computed polymorph: 7 meV/atom
DFT total energy: -40.98 eV per formula unit

Unit cell a=4.653 b=4.653 c=4.653 alpha=90.00 beta=90.00 gamma=90.00
Space group Pm-3m (No. 221)
One atom of each set of equivalent atoms:
Nb: 0.000 0.000 0.500 [3 per cell]
As: 0.000 0.000 0.000 [1 per cell]
Os: 0.500 0.500 0.500 [1 per cell]

---

[13]
Here is crystalline In3GaAu12 at its relaxed geometry from the Alexandria database. Energies are from GGA-PBE.

Results
Energy relative to the elements: -1.39 eV/f.u.
DFT total energy: -51.96 eV per formula unit

Unit cell a=4.250 b=4.250 c=16.544 alpha=90.00 beta=90.00 gamma=90.00
Space group P4/mmm (No. 123)
One atom of each set of equivalent atoms:
In: 0.000 0.000 0.000 [1 per cell]
In: 0.000 0.000 0.254 [2 per cell]
Ga: 0.000 0.000 0.500 [1 per cell]
Au: 0.000 0.500 0.127 [4 per cell]
Au: 0.000 0.500 0.381 [4 per cell]
Au: 0.500 0.500 0.000 [1 per cell]
Au: 0.500 0.500 0.254 [2 per cell]
Au: 0.500 0.500 0.500 [1 per cell]

---

[14]
Here is crystalline U2InBi at its relaxed geometry from the Alexandria database. Energies are from GGA-PBE.

Results
Energy relative to the elements: 0.92 eV/f.u.
DFT total energy: -28.28 eV per formula unit

Unit cell a=4.591 b=4.591 c=4.957 alpha=90.00 beta=90.00 gamma=90.00
Space group P4/mmm (No. 123)
One atom of each set of equivalent atoms:
U: 0.000 0.500 0.000 [2 per cell]
In: 0.000 0.000 0.500 [1 per cell]
Bi: 0.500 0.500 0.500 [1 per cell]

---

[15]
Here is crystalline KCu2Pd2 at its relaxed geometry from the Alexandria database. Energies are from GGA-PBE.

Results
Energy relative to the elements: 0.34 eV/f.u.
ΔE to the lowest computed polymorph: 0 meV/atom
DFT total energy: -19.34 eV per formula unit

Unit cell a=7.904 b=7.904 c=2.747 alpha=90.00 beta=90.00 gamma=90.00
Space group P4/mbm (No. 127)
One atom of each set of equivalent atoms:
K: 0.000 0.000 0.000 [2 per cell]
Cu: 0.120 0.380 0.000 [4 per cell]
Pd: 0.168 0.668 0.500 [4 per cell]

---

[16]
Here is crystalline V5CrGe at its relaxed geometry from the Alexandria database. Energies are from GGA-PBE.

Results
Energy relative to the elements: 0.81 eV/f.u.
DFT total energy: -59.02 eV per formula unit

Unit cell a=6.133 b=7.413 c=8.907 alpha=90.00 beta=108.07 gamma=90.00
Space group C2/c (No. 15)
One atom of each set of equivalent atoms:
V: 0.000 0.110 0.250 [4 per cell]
V: 0.105 0.436 0.160 [8 per cell]
V: 0.194 0.085 0.034 [8 per cell]
Cr: 0.250 0.250 0.500 [4 per cell]
Ge: 0.000 0.241 0.750 [4 per cell]

---

[17]
Here is crystalline ErZn4Mo at its relaxed geometry from the Alexandria database. Energies are from GGA-PBE.

Results
Energy relative to the elements: -0.53 eV/f.u.
DFT total energy: -21.02 eV per formula unit

Unit cell a=7.331 b=7.331 c=7.331 alpha=90.00 beta=90.00 gamma=90.00
Space group F-43m (No. 216)
One atom of each set of equivalent atoms:
Er: 0.000 0.000 0.000 [4 per cell]
Zn: 0.124 0.124 0.376 [16 per cell]
Mo: 0.250 0.250 0.750 [4 per cell]

---

[18]
Here is crystalline Sm12TlNi5 at its relaxed geometry from the Alexandria database. Energies are from GGA-PBE.

Results
Energy relative to the elements: -4.86 eV/f.u.
DFT total energy: -92.76 eV per formula unit

Unit cell a=9.552 b=9.825 c=10.133 alpha=90.00 beta=90.00 gamma=90.00
Space group Immm (No. 71)
One atom of each set of equivalent atoms:
Sm: 0.000 0.190 0.208 [8 per cell]
Sm: 0.194 0.500 0.178 [8 per cell]
Sm: 0.202 0.319 0.500 [8 per cell]
Tl: 0.000 0.000 0.500 [2 per cell]
Ni: 0.000 0.000 0.000 [2 per cell]
Ni: 0.000 0.368 0.000 [4 per cell]
Ni: 0.000 0.500 0.376 [4 per cell]

---

[19]
Here is crystalline Mg2Zn2Au at its relaxed geometry from the Alexandria database. Energies are from GGA-PBE.

Results
Energy relative to the elements: -0.23 eV/f.u.
ΔE to the lowest computed polymorph: 171 meV/atom
DFT total energy: -9.24 eV per formula unit

Unit cell a=7.227 b=7.227 c=3.704 alpha=90.00 beta=90.00 gamma=90.00
Space group P4/mbm (No. 127)
One atom of each set of equivalent atoms:
Mg: 0.161 0.339 0.000 [4 per cell]
Zn: 0.135 0.635 0.500 [4 per cell]
Au: 0.000 0.000 0.000 [2 per cell]

---

[20]
Here is crystalline Hg2TePb2 at its relaxed geometry from the Alexandria database. Energies are from GGA-PBE.

Results
ΔE_f (raw): -6 kJ per mole of atoms
ΔE to the lowest computed polymorph: 0 meV/atom
DFT total energy: -11.48 eV per formula unit

Unit cell a=8.274 b=4.873 c=8.219 alpha=90.00 beta=109.14 gamma=90.00
Space group C2/m (No. 12)
One atom of each set of equivalent atoms:
Hg: 0.190 0.000 0.069 [4 per cell]
Te: 0.000 0.000 0.500 [2 per cell]
Pb: 0.087 0.500 0.266 [4 per cell]

---

[21]
Here is crystalline LiSmSi2 at its relaxed geometry from the Alexandria database. Energies are from GGA-PBE.

Results
ΔE_f (raw): -57 kJ per mole of atoms
DFT total energy: -19.86 eV per formula unit

Unit cell a=6.754 b=4.168 c=10.894 alpha=90.00 beta=90.00 gamma=90.00
Space group Pnma (No. 62)
One atom of each set of equivalent atoms:
Li: 0.136 0.250 0.056 [4 per cell]
Sm: 0.145 0.250 0.347 [4 per cell]
Si: 0.030 0.250 0.835 [4 per cell]
Si: 0.181 0.250 0.638 [4 per cell]

---

[22]
Here is crystalline HoThCu3 at its relaxed geometry from the Alexandria database. Energies are from GGA-PBE.

Results
Energy relative to the elements: -1.07 eV/f.u.
DFT total energy: -25.36 eV per formula unit

Unit cell a=3.509 b=26.360 c=4.365 alpha=90.00 beta=90.00 gamma=90.00
Space group Cmcm (No. 63)
One atom of each set of equivalent atoms:
Ho: 0.000 0.205 0.250 [4 per cell]
Th: 0.000 0.073 0.750 [4 per cell]
Cu: 0.000 0.327 0.250 [4 per cell]
Cu: 0.000 0.380 0.750 [4 per cell]
Cu: 0.000 0.476 0.750 [4 per cell]

---

[23]
Here is crystalline Ba2Mg2O at its relaxed geometry from the Alexandria database. Energies are from GGA-PBE.

Results
ΔE_f (raw): -22 kJ per mole of atoms
ΔE to the lowest computed polymorph: 55 meV/atom
DFT total energy: -13.15 eV per formula unit

Unit cell a=6.390 b=6.390 c=6.666 alpha=90.00 beta=90.00 gamma=90.00
Space group P4/mbm (No. 127)
One atom of each set of equivalent atoms:
Ba: 0.178 0.322 0.000 [4 per cell]
Mg: 0.185 0.685 0.500 [4 per cell]
O: 0.000 0.000 0.500 [2 per cell]